Record 1
! GGA-PBE Tb6Ho5Tm2, optimized geometry; values from VASP
&SYSTEM
  ibrav = 0, nat = 26, ntyp = 3
/
ATOMIC_SPECIES
Tb 158.93 Tb.upf
Ho 164.93 Ho.upf
Tm 168.93 Tm.upf
CELL_PARAMETERS angstrom
-2.820 1.242 1.770
-5.744 -9.720 -2.334
7.025 -8.223 16.960
ATOMIC_POSITIONS angstrom
Tb 3.706 -11.187 13.752
Tb 0.230 -1.242 1.238
Ho 2.102 -3.491 9.365
Tb 2.107 -3.839 6.049
Ho -2.884 -7.363 4.137
Tb -0.269 -8.880 5.799
Tm 1.156 -12.313 10.478
Tb -2.337 -3.689 2.432
Ho 0.006 -5.999 7.784
Ho -4.282 -4.239 -0.282
Ho -1.545 -10.703 8.612
Ho 1.345 -9.338 12.260
Ho -0.335 -2.125 4.524
Tb 1.550 -9.064 8.827
Tm -3.316 -9.825 1.608
Tb 1.051 -16.701 13.389
Tb -0.826 -14.104 8.578
Tb -2.425 -6.756 0.875
Tm 4.597 -8.119 13.019
Ho -1.205 -14.576 11.872
Tb 2.073 -6.283 11.277
Ho -5.652 -7.597 -0.109
Ho 4.113 -9.104 16.506
Tb 0.797 -13.012 13.964
Tm 0.125 -5.631 4.149
Tb -3.612 -10.418 5.120
! Uncorrected energy in eV for the cell shown: -116.621
! Total magnetization in Bohr magnetons per cell: 0.00



Record 2
! GGA-PBE Ce2HoTh, optimized geometry; values from VASP
&SYSTEM
  ibrav = 0, nat = 4, ntyp = 3
/
ATOMIC_SPECIES
Ce 140.12 Ce.upf
Ho 164.93 Ho.upf
Th 232.04 Th.upf
CELL_PARAMETERS angstrom
-1.610 -0.333 -4.715
-0.301 -4.849 0.446
-4.608 0.428 1.543
ATOMIC_POSITIONS angstrom
Ce -0.150 -2.424 0.223
Ce -2.304 0.214 0.771
Ho -0.805 -0.167 -2.358
Th -3.259 -2.377 -1.364
! Uncorrected energy in eV for the cell shown: -23.533
! Energy above the lowest structure with this stoichiometry in meV per atom: 27
! Total magnetization in Bohr magnetons per cell: 0.64



Record 3
! GGA-PBE Hf2CuSbSe, optimized geometry; values from VASP
&SYSTEM
  ibrav = 0, nat = 5, ntyp = 4
/
ATOMIC_SPECIES
Se 78.96 Se.upf
Hf 178.49 Hf.upf
Sb 121.76 Sb.upf
Cu 63.55 Cu.upf
CELL_PARAMETERS angstrom
4.893 0.000 0.000
0.000 5.445 0.000
0.000 0.000 4.893
ATOMIC_POSITIONS angstrom
Se 0.000 0.000 0.000
Hf 0.000 0.000 2.446
Hf 2.446 0.000 0.000
Sb 0.000 2.723 0.000
Cu 2.446 2.723 2.446
! Uncorrected energy in eV for the cell shown: -28.070
! Formation energy (no corrections) in eV/atom: 0.708
! Total magnetization in Bohr magnetons per cell: 0.00



Record 4
! GGA-PBE BaS6N2, optimized geometry; values from VASP
&SYSTEM
  ibrav = 0, nat = 9, ntyp = 3
/
ATOMIC_SPECIES
N 14.01 N.upf
S 32.06 S.upf
Ba 137.33 Ba.upf
CELL_PARAMETERS angstrom
7.652 1.307 1.111
1.111 5.496 1.923
1.718 2.236 7.041
ATOMIC_POSITIONS angstrom
N 8.521 6.161 7.446
S 5.743 3.940 7.509
Ba 0.000 0.000 0.000
S 8.613 7.427 6.368
S 6.587 4.311 2.025
S 3.894 4.728 8.049
S 1.868 1.613 3.706
S 4.738 5.099 2.566
N 1.960 2.879 2.628
! Uncorrected energy in eV for the cell shown: -43.998
! Formation energy (no corrections) in eV/atom: -0.073
! Total magnetization in Bohr magnetons per cell: 0.00



Record 5
! GGA-PBE CoGePt3, optimized geometry; values from VASP
&SYSTEM
  ibrav = 0, nat = 5, ntyp = 3
/
ATOMIC_SPECIES
Ge 72.64 Ge.upf
Co 58.93 Co.upf
Pt 195.08 Pt.upf
CELL_PARAMETERS angstrom
-4.229 -1.740 -0.642
0.511 -2.630 3.761
-1.783 3.374 2.601
ATOMIC_POSITIONS angstrom
Ge 0.000 0.000 0.000
Co -2.751 -0.498 2.860
Pt -0.892 1.687 1.301
Pt 0.255 -1.315 1.881
Pt -2.115 -0.870 -0.321
! Uncorrected energy in eV for the cell shown: -25.738
! Energy above the lowest structure with this stoichiometry in meV per atom: 0
! Total magnetization in Bohr magnetons per cell: 2.27



Record 6
! GGA-PBE Na2HoBiTe4, optimized geometry; values from VASP
&SYSTEM
  ibrav = 0, nat = 8, ntyp = 4
/
ATOMIC_SPECIES
Te 127.60 Te.upf
Na 22.99 Na.upf
Bi 208.98 Bi.upf
Ho 164.93 Ho.upf
CELL_PARAMETERS angstrom
4.450 0.000 0.000
0.000 7.771 0.144
0.000 -2.700 7.549
ATOMIC_POSITIONS angstrom
Te 0.000 5.119 1.850
Te 2.225 1.315 1.810
Na 0.000 2.535 3.846
Bi 0.000 0.000 0.000
Te 2.225 3.756 5.882
Te 0.000 -0.048 5.842
Na 2.225 -1.350 3.774
Ho 2.225 3.885 0.072
! Uncorrected energy in eV for the cell shown: -31.034
! Formation energy (no corrections) in eV/atom: -0.921
! Total magnetization in Bohr magnetons per cell: 0.00